# PBEsol Cr2OsPb, relaxed
# M_tot = 0.2 μB/cell
# density = 13.6 Mg/m³
# formation enthalpy at 0 K = 0.65 eV/atom
# E_tot = -8.528 eV per atom
data_Cr2OsPb
_space_group_name_H-M_alt 'P m m 2'
_space_group_IT_number 25
_cell_length_a 2.9478
_cell_length_b 4.2526
_cell_length_c 4.8701
_cell_angle_alpha 90.00
_cell_angle_beta 90.00
_cell_angle_gamma 90.00
loop_
_space_group_symop_operation_xyz
'x,y,z'
'-x,-y,z'
'-x,y,z'
'x,-y,z'
loop_
_atom_site_label
_atom_site_type_symbol
_atom_site_fract_x
_atom_site_fract_y
_atom_site_fract_z
Cr1 Cr 0.0000 0.0000 0.0000
Cr2 Cr 0.0000 0.5000 0.2771
Os1 Os 0.5000 0.0000 0.4191
Pb1 Pb 0.5000 0.5000 0.7849


# PBEsol BaMgTi2H, relaxed
# M_tot = 5.7 μB/cell
# density = 3.6 Mg/m³
# E_tot = -3.578 eV per atom
data_BaMgTi2H
_space_group_name_H-M_alt 'P 4/m m m'
_space_group_IT_number 123
_space_group_name_Hall '-P 4 2'
_cell_length_a 5.6828
_cell_length_b 5.6828
_cell_length_c 3.7414
_cell_angle_alpha 90.00
_cell_angle_beta 90.00
_cell_angle_gamma 90.00
loop_
_atom_site_label
_atom_site_type_symbol
_atom_site_fract_x
_atom_site_fract_y
_atom_site_fract_z
Ba1 Ba 0.0000 0.0000 0.0000
Mg1 Mg 0.5000 0.5000 0.5000
Ti1 Ti 0.0000 0.5000 0.5000
H1 H 0.5000 0.5000 0.0000


# PBEsol ErFeCo, relaxed
# M_tot = 10.9 μB/cell
# density = 10.7 Mg/m³
# formation enthalpy at 0 K = -0.20 eV/atom
# E_tot = -7.414 eV per atom
data_ErFeCo
_space_group_name_H-M_alt 'I m m a'
_space_group_IT_number 74
_space_group_name_Hall '-I 2b 2'
_cell_length_a 4.9381
_cell_length_b 5.1142
_cell_length_c 6.9387
_cell_angle_alpha 90.00
_cell_angle_beta 90.00
_cell_angle_gamma 90.00
loop_
_atom_site_label
_atom_site_type_symbol
_atom_site_fract_x
_atom_site_fract_y
_atom_site_fract_z
Er1 Er 0.0000 0.2500 0.1253
Fe1 Fe 0.2500 0.2500 0.7500
Co1 Co 0.0000 0.0000 0.5000